First-principles (PBE-GGA) data for a relaxed Sr3IBr2O6 crystal, as listed in Alexandria via LeMat-Bulk.

Density: 4.24 g/cm3
Raw formation energy: -1.46 eV per atom
Total DFT energy (no corrections): -4.77 eV/atom

Cell lengths 5.7305, 6.9342, 7.2610 Å; angles 118.52, 87.11, 90.00 degrees
Atoms (fractional coordinates):
1 Sr 0.5000 0.5000 0.5000
2 Sr 0.5000 0.0000 0.5000
3 Sr 0.0000 0.5000 0.0000
4 O 0.3071 0.1580 0.9019
5 O 0.6530 0.8648 0.7295
6 O 0.6929 0.8420 0.0981
7 O 0.3071 0.7439 0.9019
8 O 0.3470 0.1352 0.2705
9 O 0.6929 0.2561 0.0981
10 I 0.5000 0.0000 0.0000
11 Br 0.0833 0.7215 0.4430
12 Br 0.9167 0.2785 0.5570



First-principles (PBE-GGA) data for a relaxed Ba14SrLi crystal, as listed in Alexandria via LeMat-Bulk.

Density: 3.44 g/cm3
E_form: 0.514 eV per formula unit
Total DFT energy (no corrections): -1.88 eV/atom

Cell lengths 9.9252, 9.9252, 9.8705 Å; angles 90.00, 90.00, 90.00 degrees
Atoms (fractional coordinates):
1 Ba 0.8750 0.8750 0.0000
2 Ba 0.6194 0.6194 0.2594
3 Ba 0.8750 0.3750 0.5000
4 Ba 0.1306 0.1306 0.7405
5 Ba 0.3750 0.8750 0.5000
6 Ba 0.1306 0.6194 0.7405
7 Ba 0.6194 0.6194 0.7406
8 Ba 0.3750 0.8750 0.0000
9 Ba 0.1306 0.6194 0.2595
10 Ba 0.8750 0.3750 0.0000
11 Ba 0.3750 0.3750 0.0000
12 Ba 0.6194 0.1306 0.7405
13 Ba 0.6194 0.1306 0.2595
14 Ba 0.1306 0.1306 0.2595
15 Sr 0.8750 0.8750 0.5000
16 Li 0.3750 0.3750 0.5000



First-principles (PBE-GGA) data for a relaxed MnPPtS2 crystal, as listed in Alexandria via LeMat-Bulk.

Density: 5.27 g/cm3
Offset from the most stable computed form: 0.0 meV/atom
Raw formation energy: 0.64 eV per atom
Total DFT energy (no corrections): -5.14 eV/atom

Cell lengths 4.9975, 4.9975, 4.3572 Å; angles 90.00, 90.00, 90.00 degrees
Atoms (fractional coordinates):
1 S 0.0000 0.5000 0.0000
2 S 0.5000 0.0000 0.0000
3 Pt 0.0000 0.0000 0.0000
4 Mn 0.5000 0.5000 0.5000
5 P 0.0000 0.0000 0.5000



First-principles (PBE-GGA) data for a relaxed Ba2InCo crystal, as listed in Alexandria via LeMat-Bulk.

Density: 5.06 g/cm3
E_form: 0.344 eV per formula unit
Total DFT energy (no corrections): -3.34 eV/atom

Cell lengths 4.7611, 4.9509, 6.7195 Å; angles 68.40, 90.00, 90.00 degrees
Atoms (fractional coordinates):
1 Co 0.0000 0.6618 0.5511
2 In 0.5000 0.5763 0.7227
3 Ba 0.5000 0.2719 0.3314
4 Ba 0.0000 0.9901 0.8948



First-principles (PBE-GGA) data for a relaxed Sr3Cu4Pt4 crystal, as listed in Alexandria via LeMat-Bulk.

Density: 9.08 g/cm3
E_form: -4.570 eV per formula unit
Total DFT energy (no corrections): -4.56 eV/atom

Cell lengths 6.7538, 6.7538, 6.7538 Å; angles 109.47, 109.47, 109.47 degrees
Atoms (fractional coordinates):
1 Sr 0.5000 0.5000 0.0000
2 Sr 0.0000 0.5000 0.5000
3 Sr 0.5000 0.0000 0.5000
4 Cu 0.3868 0.3868 0.3868
5 Cu 0.0000 0.6132 0.0000
6 Cu 0.6132 0.0000 0.0000
7 Cu 0.0000 0.0000 0.6132
8 Pt 0.7462 0.7462 0.7462
9 Pt 0.0000 0.2538 0.0000
10 Pt 0.2538 0.0000 0.0000
11 Pt 0.0000 0.0000 0.2538



First-principles (PBE-GGA) data for a relaxed Y8Co2S crystal, as listed in Alexandria via LeMat-Bulk.

Density: 4.92 g/cm3
Raw formation energy: -0.42 eV per atom
Total DFT energy (no corrections): -6.79 eV/atom

Cell lengths 3.7476, 8.7283, 9.1523 Å; angles 96.80, 101.81, 90.00 degrees
Atoms (fractional coordinates):
1 Y 0.2144 0.3250 0.4287
2 Y 0.7856 0.6750 0.5713
3 Y 0.6008 0.5634 0.2016
4 Y 0.0120 0.2201 0.0239
5 Y 0.6584 0.9744 0.3169
6 Y 0.3416 0.0256 0.6831
7 Y 0.9880 0.7799 0.9761
8 Y 0.3992 0.4366 0.7984
9 S 0.5000 0.0000 0.0000
10 Co 0.1837 0.7555 0.3674
11 Co 0.8163 0.2445 0.6326